The following is a PBE-GGA calculation of a relaxed Cs3BaNp2Te6 crystal, from Alexandria.

Its density of states at the Fermi level is 36.3 states/eV/cell.

The structure belongs to space group C2/m (No. 12); the cell edges are 8.254, 14.281 and 9.332 Å and the angles 90.00°, 107.25° and 90.00°. Symmetry generates all atoms from Cs at (0.000, 0.000, 0.000), Cs at (0.000, 0.342, 0.000), Ba at (0.000, 0.500, 0.500), Np at (0.000, 0.168, 0.500), Te at (0.198, 0.000, 0.691) and Te at (0.249, 0.317, 0.695).

---

The following is a PBE-GGA calculation of a relaxed Cs2BaO2 crystal, from Alexandria.

The energy above the lowest structure with this stoichiometry comes out at 0.072 eV per formula unit.

The structure belongs to space group Pbcn (No. 60); the cell edges are 11.546, 7.056 and 7.392 Å and the angles 90.00°, 90.00° and 90.00°. Symmetry generates all atoms from Cs at (0.160, 0.082, 0.095), Ba at (0.000, 0.476, 0.750) and O at (0.107, 0.309, 0.477).

---

The following is a PBE-GGA calculation of a relaxed CsBaO4 crystal, from Alexandria.

Its density of states at the Fermi level is 22.0 states/eV/cell.

The structure belongs to space group I4_1/amd (No. 141, origin choice 2); the cell edges are 6.643, 6.643 and 11.492 Å and the angles 90.00°, 90.00° and 90.00°. Symmetry generates all atoms from Cs at (0.000, 0.250, 0.375), Ba at (0.000, 0.250, 0.875) and O at (0.000, 0.144, 0.112).

---

The following is a PBE-GGA calculation of a relaxed CsBaO crystal, from Alexandria.

Its density of states at the Fermi level is 2.6 states/eV/cell.

The structure belongs to space group Cm (No. 8); the cell edges are 7.231, 4.205 and 8.255 Å and the angles 90.00°, 105.25° and 90.00°. Symmetry generates all atoms from Cs at (0.000, 0.000, 0.000), Ba at (0.459, 0.000, 0.407) and O at (0.255, 0.500, 0.282).

---

The following is a PBE-GGA calculation of a relaxed Cs2Ba4O crystal, from Alexandria.

Its density of states at the Fermi level is 18.0 states/eV/cell.

The structure belongs to space group I4/mmm (No. 139); the cell edges are 6.149, 6.149 and 24.513 Å and the angles 90.00°, 90.00° and 90.00°. Symmetry generates all atoms from Cs at (0.000, 0.000, 0.177), Ba at (0.000, 0.000, 0.397), Ba at (0.000, 0.500, 0.000) and O at (0.000, 0.000, 0.500).

---

The following is a PBE-GGA calculation of a relaxed CsBa2O2 crystal, from Alexandria.

Its density of states at the Fermi level is 4.0 states/eV/cell.

The structure belongs to space group C2/c (No. 15); the cell edges are 7.929, 12.772 and 7.026 Å and the angles 90.00°, 121.24° and 90.00°. Symmetry generates all atoms from Cs at (0.000, 0.182, 0.250), Ba at (0.194, 0.395, 0.056), O at (0.000, 0.251, 0.750) and O at (0.000, 0.450, 0.250).

---

The following is a PBE-GGA calculation of a relaxed Cs2BaO2 crystal, from Alexandria.

Its density of states at the Fermi level is 0.0 states/eV/cell. The energy above the lowest structure with this stoichiometry comes out at 0.000 eV per formula unit.

The structure belongs to space group P2_1/c (No. 14); the cell edges are 10.194, 7.700 and 7.807 Å and the angles 90.00°, 99.00° and 90.00°. Symmetry generates all atoms from Cs at (0.022, 0.248, 0.023), Cs at (0.311, 0.627, 0.875), Ba at (0.370, 0.103, 0.837), O at (0.152, 0.558, 0.233) and O at (0.448, 0.131, 0.169).

---

The following is a PBE-GGA calculation of a relaxed CsBaO crystal, from Alexandria.

Its density of states at the Fermi level is 1.0 states/eV/cell.

The structure belongs to space group P3m1 (No. 156); the cell edges are 4.1844, 4.1844 and 7.9874 Å and the angles 90.00°, 90.00° and 120.00°. Symmetry generates all atoms from Cs at (0.0000, 0.0000, 0.0000), Ba at (0.3333, 0.6667, 0.5939) and O at (0.6667, 0.3333, 0.7189).

---

The following is a PBE-GGA calculation of a relaxed Cs2BaO6 crystal, from Alexandria.

Its density of states at the Fermi level is 10.8 states/eV/cell.

The structure belongs to space group Immm (No. 71); the cell edges are 3.858, 6.759 and 14.523 Å and the angles 90.00°, 90.00° and 90.00°. Symmetry generates all atoms from Cs at (0.000, 0.000, 0.168), Ba at (0.000, 0.500, 0.000), O at (0.000, 0.106, 0.369) and O at (0.000, 0.400, 0.500).

---

The following is a PBE-GGA calculation of a relaxed Cs2BaOsO4 crystal, from Alexandria.

Its density of states at the Fermi level is 8.1 states/eV/cell.

The structure belongs to space group I-4 (No. 82); the cell edges are 6.731, 6.731 and 7.942 Å and the angles 90.00°, 90.00° and 90.00°. Symmetry generates all atoms from Cs at (0.000, 0.000, 0.000), Cs at (0.000, 0.500, 0.250), Ba at (0.000, 0.000, 0.500), Os at (0.000, 0.500, 0.750) and O at (0.153, 0.263, 0.720).

---

The following is a PBE-GGA calculation of a relaxed CsBaOs2O8 crystal, from Alexandria.

Its density of states at the Fermi level is 38.0 states/eV/cell.

The structure belongs to space group R-3 (No. 148, hexagonal axes); the cell edges are 6.0479, 6.0479 and 25.2379 Å and the angles 90.00°, 90.00° and 120.00°. Symmetry generates all atoms from Cs at (0.0000, 0.0000, 0.0000), Ba at (0.0000, 0.0000, 0.5000), Os at (0.0000, 0.0000, 0.2524), O at (0.0000, 0.0000, 0.3226) and O at (0.0058, 0.2828, 0.7713).

---

The following is a PBE-GGA calculation of a relaxed Cs2BaOsO6 crystal, from Alexandria.

The structure belongs to space group P-3m1 (No. 164); the cell edges are 6.6975, 6.6975 and 6.6046 Å and the angles 90.00°, 90.00° and 120.00°. Symmetry generates all atoms from Cs at (0.3333, 0.6667, 0.1101), Ba at (0.0000, 0.0000, 0.5000), Os at (0.0000, 0.0000, 0.0000) and O at (0.1313, 0.2625, 0.8314).

---

| no. | total magnetization (μB/cell) | uncorrected formation energy (meV per atom) |
| --- | --- | --- |
| 1 | 14.00 | -1056 |
| 2 | 0.00 | -1527 |
| 3 | 4.06 | -1323 |
| 4 | 0.00 | -1433 |
| 5 | 0.01 | -497 |
| 6 | 3.44 | -1724 |
| 7 | 0.29 | -1542 |
| 8 | 0.00 | -1432 |
| 9 | 4.05 | -1099 |
| 10 | 4.00 | -1501 |
| 11 | 9.00 | -1435 |
| 12 | 0.00 | -1562 |